A geometry-optimized K2SrV3F12 structure, computed with PBE+U.

Geometry as POSCAR:
```
K2SrV3F12
1.0
7.3228 -0.1830 -0.1298
3.4573 6.4579 -0.1298
3.4573 2.0124 6.1377
F K Sr V
12 2 1 3
direct
0.1004 0.7178 0.7178 F
0.1224 0.5950 0.1224 F
0.7178 0.1004 0.7178 F
0.7178 0.7178 0.1004 F
0.4050 0.8776 0.8776 F
0.8776 0.8776 0.4050 F
0.2822 0.2822 0.8996 F
0.2822 0.8996 0.2822 F
0.1224 0.1224 0.5950 F
0.8996 0.2822 0.2822 F
0.8776 0.4050 0.8776 F
0.5950 0.1224 0.1224 F
0.3734 0.3734 0.3734 K
0.6266 0.6266 0.6266 K
0.0000 0.0000 0.0000 Sr
0.0000 0.0000 0.5000 V
0.0000 0.5000 0.0000 V
0.5000 0.0000 0.0000 V
```

Energy = -5.729 eV per atom
Magnetization = 7.00 μB/f.u.
DOS(E_F) = 5.179 states/eV/f.u.